Record 1
# GGA-PBE CuSb2, optimized geometry
# * final energy: -47.21 eV/cell
# * magnetization: 0.0000 μB per atom
# * calculated density: 6.70 Mg/m³
data_CuSb2
_cell_length_a 13.907
_cell_length_b 3.131
_cell_length_c 7.331
_cell_angle_alpha 90.00
_cell_angle_beta 107.55
_cell_angle_gamma 90.00
_symmetry_space_group_name_H-M 'C 1 2/m 1'
_symmetry_Int_Tables_number 12
loop_
_symmetry_equiv_pos_as_xyz
'x,y,z'
'-x,-y,-z'
'-x,y,-z'
'x,-y,z'
'x+1/2,y+1/2,z'
'-x+1/2,-y+1/2,-z'
'-x+1/2,y+1/2,-z'
'x+1/2,-y+1/2,z'
loop_
_atom_site_label
_atom_site_type_symbol
_atom_site_fract_x
_atom_site_fract_y
_atom_site_fract_z
Cu1 Cu 0.013 0.000 0.332
Sb1 Sb 0.101 0.500 0.953
Sb2 Sb 0.155 0.500 0.572

***

Record 2
# GGA-PBE CuSb5, optimized geometry
# * final energy: -23.51 eV/cell
# * magnetization: 0.0000 μB per atom
# * energy relative to the lowest polymorph listed for this composition: 46 meV per atom
# * calculated density: 6.95 Mg/m³
data_CuSb5
_cell_length_a 6.9791
_cell_length_b 6.9791
_cell_length_c 3.8099
_cell_angle_alpha 90.00
_cell_angle_beta 90.00
_cell_angle_gamma 120.00
_symmetry_space_group_name_H-M 'P -6 2 m'
_symmetry_Int_Tables_number 189
_symmetry_space_group_name_Hall 'P -6 -2'
loop_
_atom_site_label
_atom_site_type_symbol
_atom_site_fract_x
_atom_site_fract_y
_atom_site_fract_z
Cu1 Cu 0.0000 0.0000 0.0000
Sb1 Sb 0.0000 0.7138 0.5000
Sb2 Sb 0.3333 0.6667 0.0000

***

Record 3
# GGA-PBE Cu2Sb, optimized geometry
# * final energy: -44.27 eV/cell
# * magnetization: 0.0000 μB per atom
# * calculated density: 6.86 Mg/m³
data_Cu2Sb
_cell_length_a 6.222
_cell_length_b 6.222
_cell_length_c 6.222
_cell_angle_alpha 90.00
_cell_angle_beta 90.00
_cell_angle_gamma 90.00
_symmetry_space_group_name_H-M 'P a -3'
_symmetry_Int_Tables_number 205
_symmetry_space_group_name_Hall '-P 2ac 2ab 3'
loop_
_atom_site_label
_atom_site_type_symbol
_atom_site_fract_x
_atom_site_fract_y
_atom_site_fract_z
Cu1 Cu 0.116 0.116 0.116
Sb1 Sb 0.000 0.000 0.500

***

Record 4
# GGA-PBE Cu4Sb, optimized geometry
# * final energy: -38.85 eV/cell
# * magnetization: 0.0000 μB per atom
# * energy relative to the lowest polymorph listed for this composition: 141 meV per atom
# * calculated density: 8.11 Mg/m³
data_Cu4Sb
_cell_length_a 3.583
_cell_length_b 3.583
_cell_length_c 11.987
_cell_angle_alpha 90.00
_cell_angle_beta 90.00
_cell_angle_gamma 90.00
_symmetry_space_group_name_H-M 'I 4/m m m'
_symmetry_Int_Tables_number 139
_symmetry_space_group_name_Hall '-I 4 2'
loop_
_atom_site_label
_atom_site_type_symbol
_atom_site_fract_x
_atom_site_fract_y
_atom_site_fract_z
Cu1 Cu 0.000 0.000 0.104
Cu2 Cu 0.000 0.500 0.250
Sb1 Sb 0.000 0.000 0.500

***

Record 5
# GGA-PBE Cu4Sb, optimized geometry
# * final energy: -40.26 eV/cell
# * magnetization: 0.0000 μB per atom
# * energy relative to the lowest polymorph listed for this composition: 0 meV per atom
# * calculated density: 8.73 Mg/m³
data_Cu4Sb
_cell_length_a 6.116
_cell_length_b 6.116
_cell_length_c 3.822
_cell_angle_alpha 90.00
_cell_angle_beta 90.00
_cell_angle_gamma 90.00
_symmetry_space_group_name_H-M 'I 4/m'
_symmetry_Int_Tables_number 87
_symmetry_space_group_name_Hall '-I 4'
loop_
_atom_site_label
_atom_site_type_symbol
_atom_site_fract_x
_atom_site_fract_y
_atom_site_fract_z
Cu1 Cu 0.096 0.687 0.000
Sb1 Sb 0.000 0.000 0.500

***

Record 6
# GGA-PBE CuSb2, optimized geometry
# * final energy: -11.69 eV/cell
# * magnetization: 0.0000 μB per atom
# * calculated density: 7.05 Mg/m³
data_CuSb2
_cell_length_a 4.463
_cell_length_b 4.463
_cell_length_c 3.632
_cell_angle_alpha 90.00
_cell_angle_beta 90.00
_cell_angle_gamma 90.00
_symmetry_space_group_name_H-M 'P 4/m m m'
_symmetry_Int_Tables_number 123
_symmetry_space_group_name_Hall '-P 4 2'
loop_
_atom_site_label
_atom_site_type_symbol
_atom_site_fract_x
_atom_site_fract_y
_atom_site_fract_z
Cu1 Cu 0.000 0.000 0.000
Sb1 Sb 0.000 0.500 0.500

***

Record 7
# GGA-PBE CuSb5, optimized geometry
# * final energy: -84.20 eV/cell
# * magnetization: 0.0000 μB per atom
# * energy relative to the lowest polymorph listed for this composition: 455 meV per atom
# * calculated density: 6.69 Mg/m³
data_CuSb5
_cell_length_a 8.739
_cell_length_b 8.739
_cell_length_c 8.739
_cell_angle_alpha 90.00
_cell_angle_beta 90.00
_cell_angle_gamma 90.00
_symmetry_space_group_name_H-M 'F -4 3 m'
_symmetry_Int_Tables_number 216
_symmetry_space_group_name_Hall 'F -4 2 3'
loop_
_atom_site_label
_atom_site_type_symbol
_atom_site_fract_x
_atom_site_fract_y
_atom_site_fract_z
Cu1 Cu 0.000 0.000 0.000
Sb1 Sb 0.125 0.125 0.375
Sb2 Sb 0.250 0.250 0.750

***

Record 8
# GGA-PBE Cu4Sb5, optimized geometry
# * final energy: -67.38 eV/cell
# * magnetization: 0.0000 μB per atom
# * calculated density: 7.44 Mg/m³
data_Cu4Sb5
_cell_length_a 9.589
_cell_length_b 9.589
_cell_length_c 4.191
_cell_angle_alpha 90.00
_cell_angle_beta 90.00
_cell_angle_gamma 90.00
_symmetry_space_group_name_H-M 'I 4/m m m'
_symmetry_Int_Tables_number 139
_symmetry_space_group_name_Hall '-I 4 2'
loop_
_atom_site_label
_atom_site_type_symbol
_atom_site_fract_x
_atom_site_fract_y
_atom_site_fract_z
Cu1 Cu 0.000 0.373 0.000
Sb1 Sb 0.000 0.000 0.000
Sb2 Sb 0.174 0.174 0.500

***

Record 9
# GGA-PBE CuSb3, optimized geometry
# * final energy: -29.97 eV/cell
# * magnetization: 0.0000 μB per atom
# * energy relative to the lowest polymorph listed for this composition: 266 meV per atom
# * calculated density: 7.41 Mg/m³
data_CuSb3
_cell_length_a 6.498
_cell_length_b 7.783
_cell_length_c 3.801
_cell_angle_alpha 90.00
_cell_angle_beta 90.00
_cell_angle_gamma 90.00
_symmetry_space_group_name_H-M 'C m m m'
_symmetry_Int_Tables_number 65
_symmetry_space_group_name_Hall '-C 2 2'
loop_
_atom_site_label
_atom_site_type_symbol
_atom_site_fract_x
_atom_site_fract_y
_atom_site_fract_z
Cu1 Cu 0.000 0.000 0.000
Sb1 Sb 0.000 0.500 0.000
Sb2 Sb 0.250 0.250 0.500

***

Record 10
# GGA-PBE Cu2Sb, optimized geometry
# * final energy: -48.45 eV/cell
# * magnetization: 0.0000 μB per atom
# * calculated density: 7.74 Mg/m³
data_Cu2Sb
_cell_length_a 8.069
_cell_length_b 3.892
_cell_length_c 7.064
_cell_angle_alpha 90.00
_cell_angle_beta 105.57
_cell_angle_gamma 90.00
_symmetry_space_group_name_H-M 'C 1 2/m 1'
_symmetry_Int_Tables_number 12
loop_
_symmetry_equiv_pos_as_xyz
'x,y,z'
'-x,-y,-z'
'-x,y,-z'
'x,-y,z'
'x+1/2,y+1/2,z'
'-x+1/2,-y+1/2,-z'
'-x+1/2,y+1/2,-z'
'x+1/2,-y+1/2,z'
loop_
_atom_site_label
_atom_site_type_symbol
_atom_site_fract_x
_atom_site_fract_y
_atom_site_fract_z
Cu1 Cu 0.093 0.000 0.175
Cu2 Cu 0.128 0.500 0.928
Sb1 Sb 0.181 0.000 0.677

***

Record 11
# GGA-PBE Cu2Sb, optimized geometry
# * final energy: -48.23 eV/cell
# * magnetization: 0.0000 μB per atom
# * calculated density: 8.34 Mg/m³
data_Cu2Sb
_cell_length_a 12.122
_cell_length_b 3.385
_cell_length_c 5.397
_cell_angle_alpha 90.00
_cell_angle_beta 116.43
_cell_angle_gamma 90.00
_symmetry_space_group_name_H-M 'C 1 2/m 1'
_symmetry_Int_Tables_number 12
loop_
_symmetry_equiv_pos_as_xyz
'x,y,z'
'-x,-y,-z'
'-x,y,-z'
'x,-y,z'
'x+1/2,y+1/2,z'
'-x+1/2,-y+1/2,-z'
'-x+1/2,y+1/2,-z'
'x+1/2,-y+1/2,z'
loop_
_atom_site_label
_atom_site_type_symbol
_atom_site_fract_x
_atom_site_fract_y
_atom_site_fract_z
Cu1 Cu 0.000 0.000 0.244
Cu2 Cu 0.121 0.500 0.621
Sb1 Sb 0.174 0.500 0.174

***

Record 12
# GGA-PBE Cu2Sb, optimized geometry
# * final energy: -47.90 eV/cell
# * magnetization: 0.0000 μB per atom
# * calculated density: 7.75 Mg/m³
data_Cu2Sb
_cell_length_a 3.934
_cell_length_b 13.920
_cell_length_c 3.894
_cell_angle_alpha 90.00
_cell_angle_beta 90.00
_cell_angle_gamma 90.00
_symmetry_space_group_name_H-M 'C m c m'
_symmetry_Int_Tables_number 63
_symmetry_space_group_name_Hall '-C 2c 2'
loop_
_atom_site_label
_atom_site_type_symbol
_atom_site_fract_x
_atom_site_fract_y
_atom_site_fract_z
Cu1 Cu 0.000 0.134 0.250
Cu2 Cu 0.000 0.251 0.750
Sb1 Sb 0.000 0.394 0.250

***

Record 13
# GGA-PBE CuSb2, optimized geometry
# * final energy: -46.99 eV/cell
# * magnetization: 0.0000 μB per atom
# * calculated density: 7.78 Mg/m³
data_CuSb2
_cell_length_a 6.921
_cell_length_b 6.921
_cell_length_c 5.472
_cell_angle_alpha 90.00
_cell_angle_beta 90.00
_cell_angle_gamma 90.00
_symmetry_space_group_name_H-M 'I 4/m c m'
_symmetry_Int_Tables_number 140
_symmetry_space_group_name_Hall '-I 4 2c'
loop_
_atom_site_label
_atom_site_type_symbol
_atom_site_fract_x
_atom_site_fract_y
_atom_site_fract_z
Cu1 Cu 0.000 0.000 0.250
Sb1 Sb 0.158 0.342 0.000

***

Record 14
# GGA-PBE Cu2Sb, optimized geometry
# * final energy: -47.52 eV/cell
# * magnetization: 0.0000 μB per atom
# * calculated density: 8.17 Mg/m³
data_Cu2Sb
_cell_length_a 10.830
_cell_length_b 3.088
_cell_length_c 6.644
_cell_angle_alpha 90.00
_cell_angle_beta 114.36
_cell_angle_gamma 90.00
_symmetry_space_group_name_H-M 'C 1 2/m 1'
_symmetry_Int_Tables_number 12
loop_
_symmetry_equiv_pos_as_xyz
'x,y,z'
'-x,-y,-z'
'-x,y,-z'
'x,-y,z'
'x+1/2,y+1/2,z'
'-x+1/2,-y+1/2,-z'
'-x+1/2,y+1/2,-z'
'x+1/2,-y+1/2,z'
loop_
_atom_site_label
_atom_site_type_symbol
_atom_site_fract_x
_atom_site_fract_y
_atom_site_fract_z
Cu1 Cu 0.047 0.000 0.269
Cu2 Cu 0.122 0.500 0.027
Sb1 Sb 0.172 0.500 0.666

***

Result set for energy relative to the elements, uncorrected: 0.18, 0.20, 0.42, 0.22, 0.08, 0.22, 0.61, 0.37, 0.37, 0.07, 0.09, 0.11, 0.20, 0.14 eV per atom, one per record in the order listed.